BeAgRu2 | the Alexandria database | PBE | optimized geometry; density of states at the Fermi level = 0.784 states/eV/atom; space-group type = R-3m; raw total energy = -6.0326 eV/atom; M_tot = 0.00 μB/f.u.
1.0
-7.687 -4.068 0.319
-6.589 -5.403 -1.773
-6.064 -6.195 0.769
Ru Be Ag
2 1 1
Cartesian
-0.246 -0.190 -0.008
-9.923 -7.643 -0.334
-15.254 -11.749 -0.513
-5.085 -3.916 -0.171

---

Be2AgRu2 | the Alexandria database | PBE | optimized geometry; density of states at the Fermi level = 0.790 states/eV/atom; space-group type = P4/mbm; offset from the most stable computed form = 0 meV/atom; raw total energy = -5.7748 eV/atom; M_tot = 0.00 μB/f.u.
1.0
6.192 0.000 0.000
0.000 6.192 0.000
0.000 0.000 3.131
Ru Ag Be
4 2 4
Cartesian
1.034 4.130 1.566
4.130 5.158 1.566
2.062 1.034 1.566
5.158 2.062 1.566
0.000 0.000 0.000
3.096 3.096 0.000
0.759 2.337 0.000
2.337 5.433 0.000
3.855 0.759 0.000
5.433 3.855 0.000

---

BeAg3Ru | the Alexandria database | PBE | optimized geometry; density of states at the Fermi level = 0.796 states/eV/atom; space-group type = Pm-3m; offset from the most stable computed form = 912 meV/atom; raw total energy = -2.5840 eV/atom; M_tot = 2.20 μB/f.u.
1.0
5.057 0.000 0.000
0.000 5.057 0.000
0.000 0.000 5.057
Ru Ag Be
1 3 1
Cartesian
0.000 0.000 0.000
0.000 0.000 2.528
0.000 2.528 0.000
2.528 0.000 0.000
2.528 2.528 2.528

---

BeAgRu2 | the Alexandria database | PBE | optimized geometry; density of states at the Fermi level = 1.106 states/eV/atom; space-group type = C2/m; raw total energy = -6.0867 eV/atom; M_tot = 0.00 μB/f.u.
1.0
5.275 0.001 0.004
4.571 2.633 0.004
1.733 0.463 3.893
Ru Be Ag
2 1 1
Cartesian
6.121 1.637 1.792
9.514 2.545 0.166
2.895 0.774 0.975
8.684 2.323 2.925

---

BeAgRu2 | the Alexandria database | PBE | optimized geometry; density of states at the Fermi level = 0.764 states/eV/atom; space-group type = Cm; raw total energy = -6.0266 eV/atom; M_tot = 0.00 μB/f.u.
1.0
4.482 -0.033 0.712
3.626 2.635 0.712
1.539 0.494 4.876
Ru Be Ag
2 1 1
Cartesian
9.083 2.914 6.055
7.076 2.270 4.781
2.874 0.922 2.223
5.085 1.631 2.692

---

Be3AgRu | the Alexandria database | PBE | optimized geometry; density of states at the Fermi level = 0.389 states/eV/atom; space-group type = Pm-3m; offset from the most stable computed form = 0 meV/atom; raw total energy = -4.0587 eV/atom; M_tot = 0.00 μB/f.u.
1.0
4.164 0.000 0.000
0.000 4.164 0.000
0.000 0.000 4.164
Be Ru Ag
3 1 1
Cartesian
2.082 0.000 0.000
0.000 0.000 2.082
0.000 2.082 0.000
0.000 0.000 0.000
2.082 2.082 2.082